Record 1
{"formula": "La3SmCo2", "functional": "GGA-PBE", "state": "relaxed", "e_tot_ha_per_atom": -0.20997, "space_group": "P-1, No. 2", "formation_energy_ev_per_atom": -0.095, "total_magnetization_mub_per_fu": 0.00, "lattice_angstrom": [[3.998, -0.002, 0.833], [1.782, 8.387, 1.432], [-0.081, 0.092, 10.464]], "species": ["La", "La", "La", "La", "La", "La", "Sm", "Sm", "Co", "Co", "Co", "Co"], "frac_coords": [[0.940, 0.928, 0.193], [0.690, 0.678, 0.940], [0.182, 0.186, 0.446], [0.060, 0.072, 0.807], [0.310, 0.322, 0.060], [0.818, 0.814, 0.554], [0.438, 0.431, 0.693], [0.562, 0.569, 0.307], [0.125, 0.626, 0.123], [0.375, 0.876, 0.374], [0.875, 0.374, 0.877], [0.625, 0.124, 0.626]]}


Record 2
{"formula": "LaSmCo3", "functional": "GGA-PBE", "state": "relaxed", "e_tot_ha_per_atom": -0.23104, "space_group": "Cmcm, No. 63", "formation_energy_ev_per_atom": -0.094, "total_magnetization_mub_per_fu": 1.80, "lattice_angstrom": [[-3.811, 1.055, 0.423], [-1.060, -2.525, -3.251], [-1.118, -7.702, 9.125]], "species": ["Co", "Co", "Co", "Co", "Co", "Co", "La", "La", "Sm", "Sm"], "frac_coords": [[0.750, 0.332, 0.664], [0.750, 0.622, 0.243], [0.250, 0.476, 0.952], [0.750, 0.524, 0.048], [0.250, 0.668, 0.336], [0.250, 0.378, 0.757], [0.750, 0.929, 0.858], [0.250, 0.071, 0.142], [0.250, 0.794, 0.589], [0.750, 0.206, 0.411]]}


Record 3
{"formula": "LaSmCo10", "functional": "GGA-PBE", "state": "relaxed", "e_tot_ha_per_atom": -0.24872, "space_group": "Pmmm, No. 47", "formation_energy_ev_per_atom": -0.043, "total_magnetization_mub_per_fu": 13.87, "lattice_angstrom": [[3.952, 0.000, 0.000], [0.000, 4.989, 0.000], [0.000, 0.000, 8.707]], "species": ["Co", "Co", "Co", "Co", "Co", "Co", "Co", "Co", "Co", "Co", "La", "Sm"], "frac_coords": [[0.000, 0.000, 0.331], [0.000, 0.000, 0.669], [0.000, 0.500, 0.829], [0.500, 0.244, 0.757], [0.500, 0.500, 0.000], [0.000, 0.500, 0.171], [0.500, 0.756, 0.243], [0.500, 0.756, 0.757], [0.500, 0.000, 0.500], [0.500, 0.244, 0.243], [0.000, 0.500, 0.500], [0.000, 0.000, 0.000]]}


Record 4
{"formula": "LaSm4Co2", "functional": "GGA-PBE", "state": "relaxed", "e_tot_ha_per_atom": -0.20143, "space_group": "P2_1/m, No. 11", "formation_energy_ev_per_atom": -0.050, "total_magnetization_mub_per_fu": 0.00, "lattice_angstrom": [[-4.436, 1.372, -4.889], [-2.377, -8.642, -0.268], [-3.798, 3.665, 4.475]], "species": ["Sm", "Sm", "Sm", "Sm", "Sm", "Sm", "Sm", "Sm", "Co", "Co", "Co", "Co", "La", "La"], "frac_coords": [[0.998, 0.435, 0.716], [0.750, 0.789, 0.761], [0.750, 0.994, 0.336], [0.250, 0.006, 0.664], [0.002, 0.565, 0.284], [0.502, 0.435, 0.716], [0.250, 0.211, 0.239], [0.498, 0.565, 0.284], [0.250, 0.341, 0.965], [0.250, 0.673, 0.638], [0.750, 0.327, 0.362], [0.750, 0.659, 0.035], [0.250, 0.792, 0.011], [0.750, 0.208, 0.989]]}


Record 5
{"formula": "LaSm3Co", "functional": "GGA-PBE", "state": "relaxed", "e_tot_ha_per_atom": -0.19103, "space_group": "Pm-3m, No. 221", "formation_energy_ev_per_atom": 0.040, "relative_energy_mev_per_atom": 121, "total_magnetization_mub_per_fu": 1.45, "lattice_angstrom": [[-0.500, 5.163, -1.606], [-2.360, -1.660, -4.600], [-4.865, 0.274, 2.397]], "species": ["Sm", "Sm", "Sm", "La", "Co"], "frac_coords": [[0.000, 0.500, 0.000], [0.000, 0.000, 0.500], [0.500, 0.000, 0.000], [0.500, 0.500, 0.500], [0.000, 0.000, 0.000]]}


Record 6
{"formula": "La2SmCo", "functional": "GGA-PBE", "state": "relaxed", "e_tot_ha_per_atom": -0.19384, "space_group": "R-3m, No. 166", "formation_energy_ev_per_atom": 0.145, "relative_energy_mev_per_atom": 239, "total_magnetization_mub_per_fu": 0.01, "lattice_angstrom": [[3.761, 0.000, 0.000], [1.881, 3.257, 0.000], [1.881, 1.086, 10.432]], "species": ["Sm", "La", "La", "Co"], "frac_coords": [[0.000, 0.000, 0.000], [0.114, 0.114, 0.659], [0.886, 0.886, 0.341], [0.500, 0.500, 0.500]]}